DFT (PBE) results for a geometry-optimized PrU2Pd9 structure.

Output
- N(E_F): 17.51 states/eV/cell
- Spin magnetization: 4.28 μB/cell
- ΔE_f: -0.610 eV/atom
- Calculated volume: 218 Å³ per cell
- Calculated density: 12.0 g/cm³
- Raw total energy: -81.410 eV/cell

a b c (Å): 4.1699 4.1699 12.5133
angles (deg): 90.00 90.00 90.00
Positions (direct):
Pr: 0.0000 0.0000 0.0000
U: 0.0000 0.0000 0.3341
U: 0.0000 0.0000 0.6659
Pd: 0.5000 0.5000 0.0000
Pd: 0.5000 0.5000 0.3362
Pd: 0.5000 0.5000 0.6638
Pd: 0.5000 0.0000 0.1740
Pd: 0.5000 0.0000 0.5000
Pd: 0.5000 0.0000 0.8260
Pd: 0.0000 0.5000 0.1740
Pd: 0.0000 0.5000 0.5000
Pd: 0.0000 0.5000 0.8260

DFT (PBE) results for a geometry-optimized Pr3Y2Pd2 structure.

Output
- N(E_F): 10.02 states/eV/cell
- Spin magnetization: 0.00 μB/cell
- ΔE_f: -0.448 eV/atom
- Calculated volume: 203 Å³ per cell
- Calculated density: 6.7 g/cm³
- Raw total energy: -40.785 eV/cell

a b c (Å): 3.8988 6.4912 9.0116
angles (deg): 102.29 102.49 107.41
Positions (direct):
Pr: 0.5000 0.0000 0.0000
Pr: 0.1765 0.7930 0.5606
Pr: 0.8235 0.2070 0.4394
Y: 0.6492 0.4880 0.8100
Y: 0.3508 0.5120 0.1900
Pd: 0.0445 0.8742 0.2142
Pd: 0.9555 0.1258 0.7858

DFT (PBE) results for a geometry-optimized PrY4Pd4 structure.

Output
- N(E_F): 17.06 states/eV/cell
- Spin magnetization: 0.00 μB/cell
- ΔE_f: -0.645 eV/atom
- Calculated volume: 482 Å³ per cell
- Calculated density: 6.3 g/cm³
- Raw total energy: -114.432 eV/cell

a b c (Å): 5.8174 9.1061 9.1061
angles (deg): 90.00 90.00 90.00
Positions (direct):
Pr: 0.0000 0.0000 0.0000
Pr: 0.5000 0.5000 0.5000
Y: 0.4136 0.3256 0.9051
Y: 0.9136 0.5949 0.8256
Y: 0.4136 0.6744 0.0949
Y: 0.0864 0.1744 0.5949
Y: 0.5864 0.9051 0.6744
Y: 0.0864 0.8256 0.4051
Y: 0.9136 0.4051 0.1744
Y: 0.5864 0.0949 0.3256
Pd: 0.5902 0.7878 0.3712
Pd: 0.5902 0.2122 0.6288
Pd: 0.0902 0.8712 0.7122
Pd: 0.9098 0.2878 0.8712
Pd: 0.9098 0.7122 0.1288
Pd: 0.4098 0.3712 0.2122
Pd: 0.4098 0.6288 0.7878
Pd: 0.0902 0.1288 0.2878

DFT (PBE) results for a geometry-optimized PrYPd2 structure.

Output
- N(E_F): 4.21 states/eV/cell
- Spin magnetization: 0.00 μB/cell
- ΔE_f: -0.775 eV/atom
- Energy above the most stable polymorph in this dataset: 0.062 eV/atom
- Calculated volume: 93 Å³ per cell
- Calculated density: 7.9 g/cm³
- Raw total energy: -24.729 eV/cell

a b c (Å): 5.0782 5.0782 5.0782
angles (deg): 60.00 60.00 60.00
Positions (direct):
Pr: 0.0000 0.0000 0.0000
Y: 0.5000 0.5000 0.5000
Pd: 0.2500 0.2500 0.2500
Pd: 0.7500 0.7500 0.7500

DFT (PBE) results for a geometry-optimized PrY2Pd2 structure.

Output
- N(E_F): 10.16 states/eV/cell
- Spin magnetization: 0.00 μB/cell
- ΔE_f: -0.667 eV/atom
- Energy above the most stable polymorph in this dataset: 0.000 eV/atom
- Calculated volume: 250 Å³ per cell
- Calculated density: 7.1 g/cm³
- Raw total energy: -62.857 eV/cell

a b c (Å): 3.9147 7.9890 7.9890
angles (deg): 90.00 90.00 90.00
Positions (direct):
Pr: 0.5000 0.5000 0.0000
Pr: 0.5000 0.0000 0.5000
Y: 0.0000 0.6622 0.3378
Y: 0.0000 0.8378 0.8378
Y: 0.0000 0.1622 0.1622
Y: 0.0000 0.3378 0.6622
Pd: 0.5000 0.3710 0.3710
Pd: 0.5000 0.8710 0.1290
Pd: 0.5000 0.1290 0.8710
Pd: 0.5000 0.6290 0.6290

DFT (PBE) results for a geometry-optimized PrYPd2 structure.

Output
- N(E_F): 3.23 states/eV/cell
- Spin magnetization: 0.00 μB/cell
- ΔE_f: -0.785 eV/atom
- Energy above the most stable polymorph in this dataset: 0.052 eV/atom
- Calculated volume: 92 Å³ per cell
- Calculated density: 8.0 g/cm³
- Raw total energy: -24.769 eV/cell

a b c (Å): 3.5188 3.5188 7.4131
angles (deg): 90.00 90.00 90.00
Positions (direct):
Pr: 0.5000 0.5000 0.5000
Y: 0.5000 0.5000 0.0000
Pd: 0.0000 0.0000 0.7706
Pd: 0.0000 0.0000 0.2294